[1]
The following is a DFT calculation (PBE) of a geometry-optimized BeHgW2 structure.

energy relative to the elements: 655 meV/atom

Cell and atoms, written as CIF:
```
data_BeHgW2
_chemical_formula_sum 'Be1 Hg1 W2'
_cell_length_a 3.777
_cell_length_b 3.777
_cell_length_c 4.395
_cell_angle_alpha 90.00
_cell_angle_beta 90.00
_cell_angle_gamma 90.00
_space_group_name_H-M_alt 'P 4/m m m'
_space_group_IT_number 123
_space_group_name_Hall '-P 4 2'
loop_
_atom_site_label
_atom_site_fract_x
_atom_site_fract_y
_atom_site_fract_z
Be1 0.000 0.000 0.000
Hg1 0.500 0.500 0.000
W1 0.000 0.500 0.500
```


[2]
The following is a DFT calculation (PBE) of a geometry-optimized Er4BTe3 structure.

formation energy (no corrections): -1.046 eV per atom

Cell and atoms, written as CIF:
```
data_Er4BTe3
_chemical_formula_sum 'Er8 B2 Te6'
_cell_length_a 8.589
_cell_length_b 12.019
_cell_length_c 4.100
_cell_angle_alpha 90.00
_cell_angle_beta 90.00
_cell_angle_gamma 90.00
_space_group_name_H-M_alt 'C m m m'
_space_group_IT_number 65
_space_group_name_Hall '-C 2 2'
loop_
_atom_site_label
_atom_site_fract_x
_atom_site_fract_y
_atom_site_fract_z
Er1 0.000 0.214 0.000
Er2 0.205 0.000 0.500
B1 0.000 0.000 0.000
Te1 0.000 0.500 0.000
Te2 0.250 0.250 0.500
```


| no. | N(E_F) (states/eV per atom) | magnetization (μB per atom) |
| --- | --- | --- |
| 1 | 0.55 | 0.00 |
| 2 | 0.29 | 0.00 |